(1)
Entry from Alexandria via LeMat-Bulk: an optimized crystal structure of PmLuTlPd (PBE).

Unit cell a=7.347 b=7.347 c=7.347 alpha=90.00 beta=90.00 gamma=90.00
Space group F-43m (No. 216)
Symmetry-distinct sites (fractional):
Pm (0.000, 0.000, 0.000) x4
Lu (0.000, 0.000, 0.500) x4
Tl (0.250, 0.250, 0.750) x4
Pd (0.250, 0.250, 0.250) x4

Results
Electronic total energy: -18.90 eV per formula unit
Total moment: 0.0 μB/f.u.
DFT formation energy: -0.518 eV per atom
V: 396.6 Å³ per cell

***

(2)
Entry from Alexandria via LeMat-Bulk: an optimized crystal structure of HfTi5 (PBE).

Unit cell a=4.630 b=5.800 c=8.051 alpha=90.00 beta=90.00 gamma=90.00
Space group Immm (No. 71)
Symmetry-distinct sites (fractional):
Hf (0.000, 0.000, 0.000) x2
Ti (0.000, 0.248, 0.333) x8
Ti (0.000, 0.500, 0.000) x2

Results
Electronic total energy: -49.41 eV per formula unit
Total moment: 0.0 μB/f.u.
DFT formation energy: 0.003 eV per atom
V: 216.2 Å³ per cell

***

(3)
Entry from Alexandria via LeMat-Bulk: an optimized crystal structure of ZnCd2P (PBE).

Unit cell a=4.318 b=4.318 c=8.325 alpha=90.00 beta=90.00 gamma=90.00
Space group I4/mmm (No. 139)
Symmetry-distinct sites (fractional):
Zn (0.000, 0.000, 0.000) x2
Cd (0.000, 0.500, 0.250) x4
P (0.000, 0.000, 0.500) x2

Results
Electronic total energy: -7.49 eV per formula unit
Total moment: 0.0 μB/f.u.
DFT formation energy: 0.255 eV per atom
V: 155.2 Å³ per cell

***

(4)
Entry from Alexandria via LeMat-Bulk: an optimized crystal structure of Mg3Rh (PBE).

Unit cell a=7.9747 b=7.9747 c=8.1970 alpha=90.00 beta=90.00 gamma=120.00
Space group P6_3cm (No. 185)
Symmetry-distinct sites (fractional):
Mg (0.0000, 0.0000, 0.0000) x2
Mg (0.0000, 0.2843, 0.2616) x6
Mg (0.0000, 0.3743, 0.6030) x6
Mg (0.3333, 0.6667, 0.3862) x4
Rh (0.0000, 0.3273, 0.9317) x6

Results
Electronic total energy: -13.55 eV per formula unit
Total moment: 0.0 μB/f.u.
DFT formation energy: -0.354 eV per atom
V: 451.4 Å³ per cell

***

(5)
Entry from Alexandria via LeMat-Bulk: an optimized crystal structure of PmDyTcAu (PBE).

Unit cell a=7.099 b=7.099 c=7.099 alpha=90.00 beta=90.00 gamma=90.00
Space group F-43m (No. 216)
Symmetry-distinct sites (fractional):
Pm (0.000, 0.000, 0.000) x4
Dy (0.000, 0.000, 0.500) x4
Tc (0.250, 0.250, 0.750) x4
Au (0.250, 0.250, 0.250) x4

Results
Electronic total energy: -24.13 eV per formula unit
Total moment: 0.0 μB/f.u.
DFT formation energy: -0.285 eV per atom
V: 357.7 Å³ per cell

***

(6)
Entry from Alexandria via LeMat-Bulk: an optimized crystal structure of SrNiSb2 (PBE).

Unit cell a=5.449 b=5.449 c=16.525 alpha=90.00 beta=90.00 gamma=90.00
Space group I-42d (No. 122)
Symmetry-distinct sites (fractional):
Sr (0.000, 0.000, 0.000) x4
Ni (0.000, 0.000, 0.500) x4
Sb (0.109, 0.250, 0.625) x8

Results
Raw formation energy: -0.301 eV per atom
Electronic total energy: -16.91 eV per formula unit
Total moment: 0.0 μB/f.u.
V: 490.7 Å³ per cell

***

(7)
Entry from Alexandria via LeMat-Bulk: an optimized crystal structure of BaHg4Pb6 (PBE).

Unit cell a=7.721 b=7.721 c=12.949 alpha=90.00 beta=90.00 gamma=90.00
Space group I-42m (No. 121)
Symmetry-distinct sites (fractional):
Ba (0.000, 0.000, 0.000) x2
Hg (0.249, 0.249, 0.329) x8
Pb (0.000, 0.500, 0.000) x4
Pb (0.153, 0.153, 0.608) x8

Results
Electronic total energy: -26.03 eV per formula unit
Total moment: 0.0 μB/f.u.
DFT formation energy: -0.059 eV per atom
V: 772.0 Å³ per cell

***

(8)
Entry from Alexandria via LeMat-Bulk: an optimized crystal structure of CaAcPCl (PBE).

Unit cell a=4.2042 b=4.2042 c=22.5463 alpha=90.00 beta=90.00 gamma=120.00
Space group R3m (No. 160, hexagonal axes)
Symmetry-distinct sites (fractional):
Ca (0.0000, 0.0000, 0.0000) x3
Ac (0.0000, 0.0000, 0.1906) x3
P (0.0000, 0.0000, 0.6033) x3
Cl (0.0000, 0.0000, 0.4224) x3

Results
Raw formation energy: -1.540 eV per atom
Electronic total energy: -19.53 eV per formula unit
Total moment: 0.9 μB/f.u.
V: 345.1 Å³ per cell

***

(9)
Entry from Alexandria via LeMat-Bulk: an optimized crystal structure of Er6TlZn (PBE).

Unit cell a=4.999 b=4.999 c=17.851 alpha=90.00 beta=90.00 gamma=90.00
Space group I4/mmm (No. 139)
Symmetry-distinct sites (fractional):
Er (0.000, 0.000, 0.249) x4
Er (0.000, 0.500, 0.112) x8
Tl (0.000, 0.000, 0.500) x2
Zn (0.000, 0.000, 0.000) x2

Results
Electronic total energy: -32.18 eV per formula unit
Total moment: 0.0 μB/f.u.
DFT formation energy: -0.146 eV per atom
V: 446.1 Å³ per cell

***

(10)
Entry from Alexandria via LeMat-Bulk: an optimized crystal structure of Si2RuBr (PBE).

Unit cell a=3.026 b=3.026 c=7.301 alpha=90.00 beta=90.00 gamma=90.00
Space group P4/mmm (No. 123)
Symmetry-distinct sites (fractional):
Si (0.000, 0.000, 0.196) x2
Ru (0.500, 0.500, 0.000) x1
Br (0.500, 0.500, 0.500) x1

Results
Raw formation energy: 0.140 eV per atom
Electronic total energy: -21.24 eV per formula unit
Total moment: 0.0 μB/f.u.
V: 66.9 Å³ per cell

***

Q: Which formula does entry 3 have?
A: ZnCd2P

***

Q: What is the total moment in the seventh record?
A: 0.0 μB/f.u.

***

What did the second record say?
Entry from Alexandria via LeMat-Bulk: an optimized crystal structure of HfTi5 (PBE).

Unit cell a=4.630 b=5.800 c=8.051 alpha=90.00 beta=90.00 gamma=90.00
Space group Immm (No. 71)
Symmetry-distinct sites (fractional):
Hf (0.000, 0.000, 0.000) x2
Ti (0.000, 0.248, 0.333) x8
Ti (0.000, 0.500, 0.000) x2

Results
Electronic total energy: -49.41 eV per formula unit
Total moment: 0.0 μB/f.u.
DFT formation energy: 0.003 eV per atom
V: 216.2 Å³ per cell